DFT (PBE) results for Ce4PmPa3N8 after structural relaxation.

abc: 7.0965 7.1037 7.0965
angles: 119.97 120.00 90.00
Last column: nearest neighbours and their distance in Å.
Element x y z (fractional)
Ce (0.5000, 0.0000, 0.5000)  6 N 2.60-2.62
Ce (0.0000, 0.0000, 0.0000)  6 N 2.60-2.62
Ce (0.0000, 0.0000, 0.5000)  6 N 2.60-2.62
Ce (0.5000, 0.0000, 0.0000)  6 N 2.49
N (0.2585, 0.2755, 0.5170)  3 Pa 2.43, 3 Ce 2.60
N (0.2522, 0.7313, 0.9791)  2 Pa 2.41, 3 Ce 2.49-2.62, 1 Pm 2.54
N (0.2522, 0.7312, 0.5043)  2 Pa 2.41, 3 Ce 2.49-2.62, 1 Pm 2.54
N (0.7478, 0.2688, 0.4957)  2 Pa 2.41, 3 Ce 2.49-2.62, 1 Pm 2.54
N (0.7415, 0.7245, 0.4830)  3 Pa 2.43, 3 Ce 2.60
N (0.2731, 0.2688, 0.0209)  2 Pa 2.41, 3 Ce 2.49-2.62, 1 Pm 2.54
N (0.7269, 0.7312, 0.9791)  2 Pa 2.41, 3 Ce 2.49-2.62, 1 Pm 2.54
N (0.7478, 0.2687, 0.0209)  2 Pa 2.41, 3 Ce 2.49-2.62, 1 Pm 2.54
Pa (0.5000, 0.5000, 0.0000)  6 N 2.41-2.43
Pa (0.0000, 0.5000, 0.5000)  6 N 2.41-2.43
Pa (0.5000, 0.5000, 0.5000)  6 N 2.41-2.43
Pm (0.0000, 0.5000, 0.0000)  6 N 2.54

## Properties
DFT total energy = -9.310 eV/atom
SG = No. 166

***

DFT (PBE) results for H6PbN after structural relaxation.

abc: 3.2710 3.2710 8.4322
angles: 78.82 78.82 60.00
Last column: nearest neighbours and their distance in Å.
Element x y z (fractional)
H (0.4457, 0.8194, 0.9156)  2 H 1.22
H (0.8194, 0.8194, 0.9156)  2 H 1.22
H (0.5543, 0.1806, 0.0844)  2 H 1.22
H (0.1806, 0.1806, 0.0844)  2 H 1.22
H (0.8194, 0.4457, 0.9156)  2 H 1.22
H (0.1806, 0.5543, 0.0844)  2 H 1.22
N (0.0000, 0.0000, 0.0000)  6 H 1.37
Pb (0.5000, 0.5000, 0.5000)  6 Pb 3.27

## Properties
DFT total energy = -3.403 eV/atom
SG = No. 166